{
  "formula": "Al3CrO6",
  "functional": "SCAN",
  "state": "single point on PBEsol structure",
  "lattice_angstrom": [[4.825, 0.000, 0.000], [0.000, 5.185, 0.003], [0.000, -0.703, 7.055]],
  "species": ["Al", "O", "Al", "O", "Al", "O", "O", "O", "Cr", "O", "O", "Al", "O", "O", "Al", "O", "Cr", "O", "O", "Al"],
  "frac_coords": [[0.498, 0.200, 0.150], [0.154, 0.660, 0.905], [0.002, 0.705, 0.647], [0.691, 0.500, 0.747], [0.498, 0.795, 0.353], [0.837, 0.353, 0.101], [0.801, 0.991, 0.745], [0.640, 0.148, 0.404], [0.002, 0.301, 0.850], [0.163, 0.353, 0.601], [0.309, 0.500, 0.247], [0.502, 0.200, 0.650], [0.199, 0.991, 0.245], [0.360, 0.148, 0.904], [0.502, 0.795, 0.853], [0.344, 0.846, 0.597], [0.998, 0.301, 0.350], [0.656, 0.846, 0.097], [0.846, 0.660, 0.405], [0.998, 0.705, 0.147]],
  "density_g_cm3": 4.31,
  "e_form_raw_ev_per_atom": -3.154,
  "spacegroup": "Pc (7)",
  "e_tot_ev_per_atom": -11.06
}